[1]
Be3Mo | GGA-PBEsol | relaxed

The structure in extended XYZ format:
```
8
Lattice="-2.067 1.573 -2.429 -3.834 -2.902 1.384 0.731 4.415 2.238" Properties=species:S:1:pos:R:3 pbc="T T T"
Be -1.896 2.044 -0.967
Be -1.485 4.528 0.292
Mo -1.307 2.369 1.346
Be -3.685 -1.441 0.901
Mo -3.863 0.717 -0.153
Be -3.642 2.896 1.070
Be -1.528 0.191 0.123
Be -3.274 1.042 2.160
```

Values from the calculation:
D(E_F) = 0.52 states/eV per atom
energy relative to the lowest polymorph listed for this composition = 135 meV per atom

---

[2]
KCaBe2Bi | GGA-PBEsol | relaxed

The structure in extended XYZ format:
```
5
Lattice="-0.400 -3.889 3.349 1.692 -3.271 -3.597 5.223 0.885 1.652" Properties=species:S:1:pos:R:3 pbc="T T T"
Ca 0.000 0.000 0.000
Be -0.200 -1.945 1.674
Bi 3.257 -3.138 0.702
K 2.611 0.442 0.826
Be 0.846 -1.635 -1.798
```

Values from the calculation:
D(E_F) = 0.87 states/eV per atom

---

[3]
MgBeInGa2 | GGA-PBEsol | relaxed

The structure in extended XYZ format:
```
5
Lattice="4.426 0.000 0.000 0.000 4.426 0.000 0.000 0.000 4.966" Properties=species:S:1:pos:R:3 pbc="T T T"
Ga 0.000 2.213 0.000
Ga 2.213 0.000 0.000
Mg 0.000 0.000 2.483
In 2.213 2.213 2.483
Be 0.000 0.000 0.000
```

Values from the calculation:
D(E_F) = 0.41 states/eV per atom

---

[4]
MgMn2Ni | GGA-PBEsol | relaxed

The structure in extended XYZ format:
```
4
Lattice="-0.205 -0.861 -2.722 -2.279 -1.594 0.676 -3.631 4.678 -1.207" Properties=species:S:1:pos:R:3 pbc="T T T"
Ni -1.717 2.212 -0.571
Mn -2.105 -0.115 -1.310
Mg -3.944 2.254 -1.921
Mn -0.163 0.211 -0.054
```

Values from the calculation:
D(E_F) = 0.32 states/eV per atom

---

[5]
ZrBeNi2 | GGA-PBEsol | relaxed

The structure in extended XYZ format:
```
4
Lattice="2.942 0.000 0.000 0.000 2.942 0.000 0.000 0.000 5.779" Properties=species:S:1:pos:R:3 pbc="T T T"
Ni 0.000 0.000 5.599
Ni 1.471 1.471 1.210
Be 1.471 1.471 4.774
Zr 0.000 0.000 2.865
```

Values from the calculation:
D(E_F) = 0.89 states/eV per atom
energy relative to the lowest polymorph listed for this composition = 134 meV per atom

---

[6]
K3InP2 | GGA-PBEsol | relaxed

The structure in extended XYZ format:
```
12
Lattice="6.747 0.000 0.000 0.000 7.581 0.000 -3.373 -3.791 7.182" Properties=species:S:1:pos:R:3 pbc="T T T"
K 0.000 1.507 2.647
P 3.373 1.447 1.402
In 1.687 0.000 0.000
P 3.373 -2.343 5.780
P 0.000 2.343 5.780
K 1.687 3.791 0.000
K 0.000 -2.283 4.535
K 3.373 6.074 2.647
K 3.373 2.283 4.535
K 5.060 3.791 0.000
P 0.000 6.134 1.402
In 5.060 0.000 0.000
```

---

ΔH_f (0 K)? In order: -68; 1368; 212; 115; -179; -375 meV/atom.
Total moment? In order: 0.00; 0.00; 0.00; 1.87; 0.00; 0.00 μB per cell.